[1]
The following is a DFT calculation (PBE-GGA) of a geometry-optimized AgTeW structure.

```
AgTeW
1.0
-1.5822 1.5822 6.7145
1.5822 -1.5822 6.7145
1.5822 1.5822 -6.7145
Ag Te W
1 1 1
Cartesian
0.0000 0.0000 0.0000
0.0000 0.0000 9.9034
0.0000 0.0000 4.8409
```

Properties
* ΔE_f (raw): 2.0 eV/f.u.
* E above lowest polymorph: 61.3 meV/atom
* theoretical density: 10.4 g/cm3
* density of states at the Fermi level: 3.13 states/eV/f.u.

=====

[2]
The following is a DFT calculation (PBE-GGA) of a geometry-optimized Ag2TeW structure.

```
Ag2TeW
1.0
3.2122 0.0000 0.0000
0.0000 4.5804 0.0000
0.0000 0.0000 5.1649
Ag Te W
2 1 1
Cartesian
0.0000 0.0000 0.0000
1.6061 2.2902 0.0000
0.0000 2.2902 2.5824
1.6061 0.0000 2.5824
```

Properties
* ΔE_f (raw): 2.9 eV/f.u.
* theoretical density: 11.5 g/cm3
* density of states at the Fermi level: 1.93 states/eV/f.u.

=====

[3]
The following is a DFT calculation (PBE-GGA) of a geometry-optimized Ag2TeW structure.

```
Ag2TeW
1.0
1.6990 -2.4330 0.0000
1.6990 2.4330 0.0000
0.0000 0.0000 10.0298
Ag Te W
2 1 1
Cartesian
0.0000 0.0000 0.0000
1.6990 0.0000 2.2784
1.6990 0.0000 6.7713
0.0000 0.0000 4.5817
```

Properties
* ΔE_f (raw): 2.5 eV/f.u.
* theoretical density: 10.6 g/cm3
* density of states at the Fermi level: 3.05 states/eV/f.u.

=====

[4]
The following is a DFT calculation (PBE-GGA) of a geometry-optimized AgTeW structure.

```
AgTeW
1.0
0.0000 2.4760 7.6254
1.7045 0.0000 7.6254
1.7045 2.4760 0.0000
Ag Te W
1 1 1
Cartesian
0.0000 0.0000 0.0000
1.7045 2.4760 10.8472
1.7045 2.4760 5.3786
```

Properties
* ΔE_f (raw): 2.4 eV/f.u.
* E above lowest polymorph: 183.9 meV/atom
* theoretical density: 10.8 g/cm3
* density of states at the Fermi level: 2.10 states/eV/f.u.

=====

[5]
The following is a DFT calculation (PBE-GGA) of a geometry-optimized AgTe2W structure.

```
AgTe2W
1.0
4.9496 0.0000 0.0000
0.0000 4.9496 0.0000
0.0000 0.0000 3.4529
Ag Te W
1 2 1
Cartesian
0.0000 0.0000 0.0000
0.0000 2.4748 1.7265
2.4748 0.0000 1.7265
2.4748 2.4748 0.0000
```

Properties
* ΔE_f (raw): 3.1 eV/f.u.
* E above lowest polymorph: 481.2 meV/atom
* theoretical density: 10.7 g/cm3
* density of states at the Fermi level: 3.58 states/eV/f.u.

=====

[6]
The following is a DFT calculation (PBE-GGA) of a geometry-optimized AgTeW2 structure.

```
AgTeW2
1.0
3.2783 0.0000 0.0000
0.0000 3.2524 0.0000
-0.1369 0.0000 7.3946
Ag Te W
1 1 2
Cartesian
0.0000 0.0000 0.0000
1.4843 1.6262 2.3411
0.0186 0.0000 4.1644
1.4475 1.6262 5.5409
```

Properties
* ΔE_f (raw): 2.3 eV/f.u.
* theoretical density: 12.7 g/cm3
* density of states at the Fermi level: 3.24 states/eV/f.u.

=====

[7]
The following is a DFT calculation (PBE-GGA) of a geometry-optimized Ag2TeW structure.

```
Ag2TeW
1.0
1.7714 -2.3033 0.0000
1.7714 2.3033 0.0000
0.0000 0.0000 9.8816
Ag Te W
2 1 1
Cartesian
0.0000 0.0000 2.1935
0.0000 0.0000 7.6881
1.7714 0.0000 4.9408
1.7714 0.0000 0.0000
```

Properties
* ΔE_f (raw): 2.5 eV/f.u.
* theoretical density: 10.9 g/cm3
* density of states at the Fermi level: 2.14 states/eV/f.u.

=====

[8]
The following is a DFT calculation (PBE-GGA) of a geometry-optimized Ag2TeW structure.

```
Ag2TeW
1.0
2.9156 0.0000 0.0000
0.0000 2.9156 0.0000
0.0000 0.0000 9.6263
Ag Te W
2 1 1
Cartesian
0.0000 0.0000 2.0568
0.0000 0.0000 7.5695
1.4578 1.4578 4.8132
1.4578 1.4578 0.0000
```

Properties
* ΔE_f (raw): 2.5 eV/f.u.
* theoretical density: 10.7 g/cm3
* density of states at the Fermi level: 2.13 states/eV/f.u.

=====

[9]
The following is a DFT calculation (PBE-GGA) of a geometry-optimized AgTe2W structure.

```
AgTe2W
1.0
-3.1788 3.1788 6.1168
3.1788 -3.1788 6.1168
3.1788 3.1788 -6.1168
Ag Te W
2 4 2
Cartesian
0.0000 0.0000 0.0000
0.0000 3.1788 3.0584
1.5894 -1.4351 4.5876
1.7436 1.5894 1.5292
1.5894 4.6139 -1.5292
1.4351 1.5894 7.6460
3.1788 0.0000 3.0584
0.0000 0.0000 6.1168
```

Properties
* ΔE_f (raw): 2.3 eV/f.u.
* E above lowest polymorph: 273.0 meV/atom
* theoretical density: 7.3 g/cm3
* density of states at the Fermi level: 5.17 states/eV/f.u.

=====

[10]
The following is a DFT calculation (PBE-GGA) of a geometry-optimized AgTe2W structure.

```
AgTe2W
1.0
1.5219 0.8787 11.7556
-1.5219 0.8787 11.7556
0.0000 -1.7573 11.7556
Ag Te W
1 2 1
Cartesian
0.0000 0.0000 0.0000
0.0000 0.0000 14.8545
0.0000 0.0000 20.4124
0.0000 0.0000 17.6335
```

Properties
* ΔE_f (raw): 3.2 eV/f.u.
* E above lowest polymorph: 500.8 meV/atom
* theoretical density: 9.6 g/cm3
* density of states at the Fermi level: 3.34 states/eV/f.u.

=====

[11]
The following is a DFT calculation (PBE-GGA) of a geometry-optimized Ag2TeW structure.

```
Ag2TeW
1.0
1.4985 0.8652 10.2651
-1.4985 0.8652 10.2651
0.0000 -1.7303 10.2651
Ag Te W
2 1 1
Cartesian
0.0000 0.0000 7.4500
0.0000 0.0000 23.3453
0.0000 0.0000 0.0000
0.0000 0.0000 15.3976
```

Properties
* ΔE_f (raw): 2.5 eV/f.u.
* theoretical density: 11.0 g/cm3
* density of states at the Fermi level: 4.40 states/eV/f.u.

=====

[12]
The following is a DFT calculation (PBE-GGA) of a geometry-optimized AgTeW3 structure.

```
AgTeW3
1.0
4.8468 0.0000 0.0000
0.0000 4.8468 0.0000
0.0000 0.0000 4.8468
Ag Te W
1 1 3
Cartesian
0.0000 0.0000 0.0000
2.4234 2.4234 2.4234
0.0000 0.0000 2.4234
0.0000 2.4234 0.0000
2.4234 0.0000 0.0000
```

Properties
* ΔE_f (raw): 13.8 eV/f.u.
* E above lowest polymorph: 204.4 meV/atom
* theoretical density: 11.5 g/cm3
* density of states at the Fermi level: 9.09 states/eV/f.u.

=====

[13]
The following is a DFT calculation (PBE-GGA) of a geometry-optimized AgTeW2 structure.

```
AgTeW2
1.0
4.7640 0.0000 0.0000
0.0000 4.7640 0.0000
0.0000 0.0000 3.0774
Ag Te W
1 1 2
Cartesian
0.0000 0.0000 0.0000
2.3820 2.3820 0.0000
0.0000 2.3820 1.5387
2.3820 0.0000 1.5387
```

Properties
* ΔE_f (raw): 3.8 eV/f.u.
* theoretical density: 14.3 g/cm3
* density of states at the Fermi level: 2.96 states/eV/f.u.

=====

[14]
The following is a DFT calculation (PBE-GGA) of a geometry-optimized AgTeW2 structure.

```
AgTeW2
1.0
1.5255 0.8807 8.9675
-1.5255 0.8807 8.9675
0.0000 -1.7615 8.9675
Ag Te W
1 1 2
Cartesian
0.0000 0.0000 0.0000
0.0000 0.0000 13.4513
0.0000 0.0000 6.6435
0.0000 0.0000 20.2590
```

Properties
* ΔE_f (raw): 3.5 eV/f.u.
* theoretical density: 13.9 g/cm3
* density of states at the Fermi level: 1.69 states/eV/f.u.

=====

[15]
The following is a DFT calculation (PBE-GGA) of a geometry-optimized AgTe2W structure.

```
AgTe2W
1.0
3.3144 0.0000 0.0000
0.0000 3.3218 0.0000
-0.0395 0.0000 8.5133
Ag Te W
1 2 1
Cartesian
0.0000 0.0000 0.0000
-0.0198 1.6609 5.9179
3.2947 1.6609 2.5953
1.6374 0.0000 4.2566
```

Properties
* ΔE_f (raw): 1.5 eV/f.u.
* E above lowest polymorph: 82.6 meV/atom
* theoretical density: 9.7 g/cm3
* density of states at the Fermi level: 2.04 states/eV/f.u.

=====

[16]
The following is a DFT calculation (PBE-GGA) of a geometry-optimized AgTeW2 structure.

```
AgTeW2
1.0
3.2503 0.0000 0.0000
0.0000 4.6750 0.0000
0.0000 0.0000 4.8170
Ag Te W
1 1 2
Cartesian
0.0000 0.0000 0.0000
1.6252 2.3375 0.0000
0.0000 2.3375 2.4085
1.6252 0.0000 2.4085
```

Properties
* ΔE_f (raw): 3.8 eV/f.u.
* theoretical density: 13.7 g/cm3
* density of states at the Fermi level: 3.10 states/eV/f.u.

=====

[17]
The following is a DFT calculation (PBE-GGA) of a geometry-optimized AgTe2W structure.

```
AgTe2W
1.0
-1.7077 1.8020 7.6566
1.7077 -1.8020 7.6566
1.7077 1.8020 -7.6566
Ag Te W
1 2 1
Cartesian
0.0000 0.0000 0.0000
0.0000 0.0000 5.8206
0.0000 1.8020 2.4121
1.7077 0.0000 3.7204
```

Properties
* ΔE_f (raw): 1.7 eV/f.u.
* E above lowest polymorph: 132.4 meV/atom
* theoretical density: 9.6 g/cm3
* density of states at the Fermi level: 3.43 states/eV/f.u.

=====

[18]
The following is a DFT calculation (PBE-GGA) of a geometry-optimized AgTeW2 structure.

```
AgTeW2
1.0
4.7857 -1.6300 0.0000
4.7857 1.6300 0.0000
-0.6568 0.0000 4.7420
Ag Te W
1 1 2
Cartesian
0.0000 0.0000 0.0000
4.4573 0.0000 2.3710
1.9336 0.0000 3.7056
6.9809 0.0000 1.0364
```

Properties
* ΔE_f (raw): 3.3 eV/f.u.
* theoretical density: 13.5 g/cm3
* density of states at the Fermi level: 1.46 states/eV/f.u.

=====

[19]
The following is a DFT calculation (PBE-GGA) of a geometry-optimized AgTeW2 structure.

```
AgTeW2
1.0
2.8664 0.0000 0.0000
0.0000 4.7920 0.0000
-0.1805 0.0000 5.4888
Ag Te W
1 1 2
Cartesian
0.0000 0.0000 0.0000
1.3429 0.0000 2.7444
0.8685 2.3960 4.2821
1.8173 2.3960 1.2067
```

Properties
* ΔE_f (raw): 3.8 eV/f.u.
* theoretical density: 13.3 g/cm3
* density of states at the Fermi level: 4.31 states/eV/f.u.

=====

[20]
The following is a DFT calculation (PBE-GGA) of a geometry-optimized AgTeW structure.

```
AgTeW
1.0
3.2236 0.0000 0.0000
-1.6118 2.7917 0.0000
0.0000 0.0000 7.1281
Ag Te W
1 1 1
Cartesian
0.0000 0.0000 0.0000
0.0000 1.8612 2.9509
1.6118 0.9306 4.8886
```

Properties
* ΔE_f (raw): 1.8 eV/f.u.
* E above lowest polymorph: 0.0 meV/atom
* theoretical density: 10.9 g/cm3
* density of states at the Fermi level: 2.46 states/eV/f.u.